Y2PaGa9: relaxed, PBE.

Structure (CIF):
```
data_Y2PaGa9
_cell_length_a 4.285
_cell_length_b 4.285
_cell_length_c 12.854
_cell_angle_alpha 90.00
_cell_angle_beta 90.00
_cell_angle_gamma 90.00
_space_group_name_H-M_alt 'P 4/m m m'
_space_group_IT_number 123
_space_group_name_Hall '-P 4 2'
loop_
_atom_site_label
_atom_site_type_symbol
_atom_site_fract_x
_atom_site_fract_y
_atom_site_fract_z
Y1 Y 0.000 0.000 0.166
Pa1 Pa 0.000 0.000 0.500
Ga1 Ga 0.000 0.500 0.000
Ga2 Ga 0.000 0.500 0.333
Ga3 Ga 0.500 0.500 0.167
Ga4 Ga 0.500 0.500 0.500
```

Ba12InAu5: relaxed, PBE.

Structure (CIF):
```
data_Ba12InAu5
_cell_length_a 10.818
_cell_length_b 11.614
_cell_length_c 12.131
_cell_angle_alpha 90.00
_cell_angle_beta 90.00
_cell_angle_gamma 90.00
_space_group_name_H-M_alt 'I m m m'
_space_group_IT_number 71
_space_group_name_Hall '-I 2 2'
loop_
_atom_site_label
_atom_site_type_symbol
_atom_site_fract_x
_atom_site_fract_y
_atom_site_fract_z
Ba1 Ba 0.000 0.185 0.241
Ba2 Ba 0.191 0.500 0.163
Ba3 Ba 0.225 0.327 0.500
In1 In 0.000 0.000 0.500
Au1 Au 0.000 0.000 0.000
Au2 Au 0.000 0.333 0.000
Au3 Au 0.000 0.500 0.378
```

| no. | calculated formation energy (eV per atom) |
| --- | --- |
| 1 | -0.49 |
| 2 | -0.46 |